Entry 1:
Material: Zr4FePt
Method: DFT, GGA-PBE
State: optimized geometry

a = 5.6255 Å, b = 6.4853 Å, c = 6.4853 Å
α = 90.00°, β = 90.00°, γ = 90.00°
Sites, in units of the cell vectors:
Zr: 0.0000 0.8174 0.3428
Fe: 0.2500 0.5000 0.5000
Zr: 0.0000 0.3428 0.1826
Fe: 0.7500 0.5000 0.5000
Zr: 0.0000 0.1826 0.6572
Zr: 0.5000 0.3428 0.8174
Pt: 0.2500 0.0000 0.0000
Zr: 0.5000 0.1826 0.3428
Pt: 0.7500 0.0000 0.0000
Zr: 0.5000 0.8174 0.6572
Zr: 0.5000 0.6572 0.1826
Zr: 0.0000 0.6572 0.8174

Properties
Calculated formation energy: -262 kJ/mol of formula units


Entry 2:
Material: ZrFePt2
Method: DFT, GGA-PBE
State: optimized geometry

a = 4.5733 Å, b = 2.8833 Å, c = 4.9595 Å
α = 90.05°, β = 90.00°, γ = 90.00°
Site moments in Bohr magnetons follow the coordinates.
Sites, in units of the cell vectors:
Zr: 0.0000 0.6257 0.4513  -0.18
Pt: 0.0000 0.1255 0.9358  0.12
Pt: 0.5000 0.1251 0.2904  0.07
Fe: 0.5000 0.6237 0.8225  2.86

Properties
Calculated formation energy: -207 kJ/mol of formula units


Entry 3:
Material: Zr2FePt
Method: DFT, GGA-PBE
State: optimized geometry

a = 9.1420 Å, b = 9.1420 Å, c = 9.1420 Å
α = 19.58°, β = 19.58°, γ = 19.58°
Site moments in Bohr magnetons follow the coordinates.
Sites, in units of the cell vectors:
Zr: 0.2427 0.2427 0.2427  -0.18
Fe: 0.4948 0.4948 0.4948  2.81
Zr: 0.0064 0.0064 0.0064  -0.11
Pt: 0.7561 0.7561 0.7561  0.11

Properties
Calculated formation energy: -10 kJ/mol of formula units


Entry 4:
Material: ZrFePt2
Method: DFT, GGA-PBE
State: optimized geometry

a = 4.9948 Å, b = 4.9948 Å, c = 4.9948 Å
α = 133.51°, β = 133.51°, γ = 67.86°
Site moments in Bohr magnetons follow the coordinates.
Sites, in units of the cell vectors:
Fe: 0.7500 0.2500 0.5000  2.64
Pt: 0.2500 0.7500 0.5000  0.12
Pt: 0.0000 0.0000 0.0000  0.14
Zr: 0.5000 0.5000 0.0000  -0.20

Properties
Calculated formation energy: -254 kJ/mol of formula units


Entry 5:
Material: ZrFePt2
Method: DFT, GGA-PBE
State: optimized geometry

a = 9.2775 Å, b = 9.2775 Å, c = 9.2775 Å
α = 17.78°, β = 17.78°, γ = 17.78°
Site moments in Bohr magnetons follow the coordinates.
Sites, in units of the cell vectors:
Zr: 0.2500 0.2500 0.2500  -0.05
Pt: 0.0060 0.0060 0.0060  0.10
Fe: 0.7500 0.7500 0.7500  2.94
Pt: 0.4940 0.4940 0.4940  0.10

Properties
Calculated formation energy: -106 kJ/mol of formula units


Entry 6:
Material: PuFe3
Method: DFT, GGA-PBE
State: optimized geometry

a = 4.8329 Å, b = 4.8329 Å, c = 17.0165 Å
α = 90.00°, β = 90.00°, γ = 120.00°
Site moments in Bohr magnetons follow the coordinates.
Sites, in units of the cell vectors:
Fe: 0.8344 0.1656 0.1277  1.68
Fe: 0.6689 0.8344 0.6277  1.68
Fe: 0.1656 0.8344 0.6277  1.68
Fe: 0.6689 0.8344 0.8723  1.68
Pu: 0.6667 0.3333 0.9616  -4.98
Fe: 0.0000 0.0000 0.7500  -2.13
Fe: 0.1656 0.8344 0.8723  1.68
Pu: 0.3333 0.6667 0.4616  -4.98
Fe: 0.8344 0.6689 0.3723  1.68
Fe: 0.1656 0.3311 0.6277  1.68
Fe: 0.6667 0.3333 0.2500  -1.83
Fe: 0.3311 0.1656 0.1277  1.68
Pu: 0.3333 0.6667 0.0384  -4.98
Pu: 0.6667 0.3333 0.7500  4.70
Fe: 0.0000 0.0000 0.2500  -2.13
Pu: 0.3333 0.6667 0.2500  4.70
Pu: 0.6667 0.3333 0.5384  -4.98
Fe: 0.0000 0.0000 0.5000  2.07
Fe: 0.0000 0.0000 0.0000  2.07
Fe: 0.3333 0.6667 0.7500  -1.83
Fe: 0.8344 0.1656 0.3723  1.68
Fe: 0.3311 0.1656 0.3723  1.68
Fe: 0.8344 0.6689 0.1277  1.68
Fe: 0.1656 0.3311 0.8723  1.68

Properties
Calculated formation energy: 15 kJ/mol of formula units


Entry 7:
Material: PuFe3
Method: DFT, GGA-PBE
State: optimized geometry

a = 4.0236 Å, b = 4.0236 Å, c = 4.5156 Å
α = 116.46°, β = 116.46°, γ = 90.00°
Site moments in Bohr magnetons follow the coordinates.
Sites, in units of the cell vectors:
Fe: 0.5000 0.5000 0.0000  2.41
Fe: 0.7500 0.2500 0.5000  1.98
Fe: 0.2500 0.7500 0.5000  1.98
Pu: 0.0000 0.0000 0.0000  -4.84

Properties
Calculated formation energy: 34 kJ/mol of formula units


Entry 8:
Material: PuFe2
Method: DFT, GGA-PBE
State: optimized geometry

a = 2.4819 Å, b = 2.4819 Å, c = 6.5474 Å
α = 100.93°, β = 100.93°, γ = 90.00°
Sites, in units of the cell vectors:
Fe: 0.3102 0.3102 0.6205
Fe: 0.6898 0.6898 0.3795
Pu: 0.0000 0.0000 0.0000

Properties
Calculated formation energy: 108 kJ/mol of formula units


Entry 9:
Material: PuFe
Method: DFT, GGA-PBE
State: optimized geometry

a = 6.4190 Å, b = 6.4190 Å, c = 6.4190 Å
α = 109.47°, β = 109.47°, γ = 109.47°
Site moments in Bohr magnetons follow the coordinates.
Sites, in units of the cell vectors:
Pu: 0.5795 0.0000 0.0000  5.01
Pu: 0.0000 0.5795 0.0000  5.01
Fe: 0.2419 0.0000 0.0000  -1.10
Fe: 0.0000 0.0000 0.2419  -1.10
Fe: 0.0000 0.2419 0.0000  -1.10
Fe: 0.7581 0.7581 0.7581  -1.10
Pu: 0.4205 0.4205 0.4205  5.01
Pu: 0.0000 0.0000 0.5795  5.01

Properties
Calculated formation energy: 82 kJ/mol of formula units


Entry 10:
Material: PuFe2
Method: DFT, GGA-PBE
State: optimized geometry

a = 5.0523 Å, b = 5.0523 Å, c = 5.0523 Å
α = 60.00°, β = 60.00°, γ = 60.00°
Site moments in Bohr magnetons follow the coordinates.
Sites, in units of the cell vectors:
Pu: 0.2500 0.2500 0.2500  5.20
Pu: 0.0000 0.0000 0.0000  5.20
Fe: 0.6250 0.1250 0.6250  -2.01
Fe: 0.6250 0.6250 0.6250  -2.01
Fe: 0.6250 0.6250 0.1250  -2.01
Fe: 0.1250 0.6250 0.6250  -2.01

Properties
Calculated formation energy: -19 kJ/mol of formula units


Entry 11:
Material: Pu6Fe23
Method: DFT, GGA-PBE
State: optimized geometry

a = 8.4096 Å, b = 8.4096 Å, c = 8.4096 Å
α = 60.00°, β = 60.00°, γ = 60.00°
Site moments in Bohr magnetons follow the coordinates.
Sites, in units of the cell vectors:
Fe: 0.3799 0.3799 0.3799  -2.37
Pu: 0.2142 0.7858 0.7858  5.22
Fe: 0.0000 0.0000 0.5000  -2.31
Fe: 0.5000 0.0000 0.5000  -2.31
Fe: 0.3799 0.3799 0.8602  -2.37
Fe: 0.3799 0.8602 0.3799  -2.37
Pu: 0.2142 0.7858 0.2142  5.22
Fe: 0.6201 0.6201 0.1398  -2.37
Fe: 0.1748 0.1748 0.4756  -2.30
Fe: 0.1398 0.6201 0.6201  -2.37
Fe: 0.6201 0.1398 0.6201  -2.37
Fe: 0.0000 0.5000 0.5000  -2.31
Fe: 0.0000 0.5000 0.0000  -2.31
Fe: 0.8252 0.5244 0.8252  -2.30
Fe: 0.5244 0.8252 0.8252  -2.30
Fe: 0.8252 0.8252 0.8252  -2.30
Fe: 0.8252 0.8252 0.5244  -2.30
Pu: 0.7858 0.2142 0.2142  5.22
Pu: 0.7858 0.7858 0.2142  5.22
Fe: 0.6201 0.6201 0.6201  -2.37
Fe: 0.5000 0.5000 0.5000  -2.23
Fe: 0.4756 0.1748 0.1748  -2.30
Fe: 0.1748 0.1748 0.1748  -2.30
Fe: 0.5000 0.0000 0.0000  -2.31
Pu: 0.2142 0.2142 0.7858  5.22
Pu: 0.7858 0.2142 0.7858  5.22
Fe: 0.5000 0.5000 0.0000  -2.31
Fe: 0.1748 0.4756 0.1748  -2.30
Fe: 0.8602 0.3799 0.3799  -2.37

Properties
Calculated formation energy: -105 kJ/mol of formula units


Entry 12:
Material: Pu4Fe
Method: DFT, GGA-PBE
State: optimized geometry

a = 5.0982 Å, b = 5.0982 Å, c = 5.0982 Å
α = 90.00°, β = 90.00°, γ = 90.00°
Site moments in Bohr magnetons follow the coordinates.
Sites, in units of the cell vectors:
Pu: 0.0000 0.5000 0.5000  5.33
Pu: 0.5000 0.0000 0.5000  5.33
Pu: 0.5000 0.5000 0.0000  5.33
Pu: 0.0000 0.0000 0.0000  5.69
Fe: 0.5000 0.5000 0.5000  -0.97

Properties
Calculated formation energy: 150 kJ/mol of formula units


Q: Which of these has the lowest calculated formation energy?
A: Zr4FePt


Q: Number 3 is which compound?
A: Zr2FePt